## TiRe2W (GGA-PBE)

Data for a relaxed TiRe2W crystal.

Values from the calculation:
D(E_F)   0.91 states/eV/cell
Space group   Fm-3m
Energy of formation   -0.34 eV per atom

```
TiRe2W
1.0
0.000 3.130 3.130
3.130 0.000 3.130
3.130 3.130 0.000
Re W Ti
2 1 1
direct
0.250 0.250 0.250
0.750 0.750 0.750
0.500 0.500 0.500
0.000 0.000 0.000
```